First-principles (PBE-GGA) data for a relaxed structure of Ac5Cu2Ni5, as listed in the Alexandria database.

Summary:
ΔE_f	-0.193	eV per atom
calculated density	9.1	Mg/m³

a = 4.074 Å, b = 7.839 Å, c = 9.391 Å
α = 87.95°, β = 77.47°, γ = 74.94°
Fractional coordinates of all 12 atoms:
Ac 0.372 0.930 0.326
Ac 0.000 0.500 0.500
Ac 0.628 0.070 0.674
Ni 0.939 0.286 0.835
Ni 0.000 0.000 0.000
Ac 0.680 0.717 0.923
Ni 0.298 0.762 0.642
Ni 0.702 0.238 0.358
Ac 0.320 0.283 0.077
Cu 0.615 0.535 0.235
Ni 0.061 0.714 0.165
Cu 0.385 0.465 0.765